Here is a geometry-optimized BaTaHg3 structure from the Alexandria database. Energies are from GGA-PBE.

E = -2.7138 eV/atom
Distance to the lowest polymorph of the same formula = 0.000 eV per atom
Crystal system = cubic
Energy of formation = 0.22 eV per atom
Total magnetization = 0.0 μB per formula unit
D(E_F) = 8.9 states/eV per cell

abc: 5.4409 5.4409 5.4409
angles: 90.00 90.00 90.00
Last column: nearest neighbours and their distance in Å.
Space group Pm-3m (No. 221)
One atom of each set of equivalent atoms:
Ba (0.0000, 0.0000, 0.0000) [1 per cell]  12 Hg 3.85
Ta (0.5000, 0.5000, 0.5000) [1 per cell]  6 Hg 2.72
Hg (0.0000, 0.5000, 0.5000) [3 per cell]  2 Ta 2.72